Material: KLa2Ni2
Method: DFT, PBE-GGA
State: optimized geometry

a b c (Å): 8.4112 8.4112 3.8039
angles (deg): 90.00 90.00 90.00
With the nearest neighbours (Å) after each atom.
Sites, in units of the cell vectors:
K 0.0000 0.0000 0.0000  4 Ni 3.37, 8 La 3.74
K 0.5000 0.5000 0.0000  4 Ni 3.37, 8 La 3.74
La 0.1467 0.3533 0.5000  4 Ni 2.93
La 0.3533 0.8533 0.5000  4 Ni 2.93
La 0.6467 0.1467 0.5000  4 Ni 2.93
La 0.8533 0.6467 0.5000  4 Ni 2.93
Ni 0.1161 0.6161 0.0000  1 Ni 2.76, 4 La 2.93
Ni 0.3839 0.1161 0.0000  1 Ni 2.76, 4 La 2.93
Ni 0.6161 0.8839 0.0000  1 Ni 2.76, 4 La 2.93
Ni 0.8839 0.3839 0.0000  1 Ni 2.76, 4 La 2.93

Summary:
electronic total energy: -4.47 eV per atom
SG: No. 127

***

Material: K2LaNi
Method: DFT, PBE-GGA
State: optimized geometry

a b c (Å): 4.0245 3.8771 10.9911
angles (deg): 90.00 100.10 90.00
With the nearest neighbours (Å) after each atom.
Sites, in units of the cell vectors:
K 0.0000 0.0000 0.0000  2 Ni 3.76, 4 K 3.88-4.02, 2 La 3.98-4.00
K 0.3022 0.5000 0.6265  1 Ni 3.56, 2 K 3.88
La 0.6574 0.0000 0.3187  4 Ni 2.80
Ni 0.1475 0.5000 0.2972  4 La 2.80

Summary:
offset from the most stable computed form: 0.0 kJ per mole of atoms
SG: No. 6

***

Material: K2LaNi
Method: DFT, PBE-GGA
State: optimized geometry

a b c (Å): 7.6661 7.6661 7.6661
angles (deg): 150.81 128.07 60.69
With the nearest neighbours (Å) after each atom.
Sites, in units of the cell vectors:
K 0.0000 0.0000 0.0000  4 K 3.86-4.02, 4 Ni 3.92, 2 La 4.04
K 0.6668 0.1668 0.5000  2 Ni 3.39
La 0.3299 0.8299 0.5000  2 Ni 2.56
Ni 0.4566 0.4566 0.0000  2 La 2.56

Summary:
offset from the most stable computed form: 21.7 kJ per mole of atoms
SG: No. 44

***

Material: KLaNi
Method: DFT, PBE-GGA
State: optimized geometry

a b c (Å): 7.9267 7.9245 3.6657
angles (deg): 76.66 76.60 26.74
With the nearest neighbours (Å) after each atom.
Sites, in units of the cell vectors:
K 0.0000 0.0000 0.0000  4 Ni 3.61, 4 K 3.67, 1 La 3.69
La 0.7537 0.7537 0.2463  4 Ni 2.85
Ni 0.3325 0.3325 0.6675  4 La 2.85

Summary:
offset from the most stable computed form: 0.0 kJ per mole of atoms
SG: No. 42